Zr3Se | PBE | optimized geometry

Geometry as POSCAR:
```
Zr3Se
1.0
3.3412 0.0000 0.0000
0.0000 5.2767 0.0000
0.0000 0.0000 9.8512
Zr Se
6 2
direct
0.0000 0.0000 0.0000
0.0000 0.5000 0.2319
0.0000 0.5000 0.7681
0.5000 0.0000 0.2681
0.5000 0.0000 0.7319
0.5000 0.5000 0.5000
0.0000 0.0000 0.5000
0.5000 0.5000 0.0000
```

Calculated values
Energy above the lowest structure with this stoichiometry: 1.40 eV/f.u.
V: 21.71 A^3/atom
DOS(E_F): 1.33 states/eV/atom
Formation energy from raw total energies: -0.350 eV/atom
Calculated total energy: -7.6322 eV per atom
Magnetic moment: 0.0 μB/f.u.

---

Zr2Se3 | PBE | optimized geometry

Geometry as POSCAR:
```
Zr2Se3
1.0
3.8546 0.0000 0.0000
-1.9273 3.3382 0.0000
0.0000 0.0000 29.0154
Zr Se
6 9
direct
0.0000 0.0000 0.1118
0.0000 0.0000 0.8882
0.3333 0.6667 0.5548
0.3333 0.6667 0.7785
0.6667 0.3333 0.2215
0.6667 0.3333 0.4452
0.0000 0.0000 0.2752
0.0000 0.0000 0.5000
0.0000 0.0000 0.7248
0.3333 0.6667 0.1667
0.3333 0.6667 0.3915
0.3333 0.6667 0.9419
0.6667 0.3333 0.0581
0.6667 0.3333 0.6085
0.6667 0.3333 0.8333
```

Calculated values
V: 24.89 A^3/atom
DOS(E_F): 0.41 states/eV/atom
Formation energy from raw total energies: -1.249 eV/atom
Calculated total energy: -6.7589 eV per atom
Magnetic moment: 0.0 μB/f.u.

---

ZrSe5 | PBE | optimized geometry

Geometry as POSCAR:
```
ZrSe5
1.0
5.4149 0.0000 0.0000
-2.7074 4.6894 0.0000
0.0000 0.0000 5.0164
Zr Se
1 5
direct
0.0000 0.0000 0.0000
0.0000 0.7252 0.5000
0.2748 0.2748 0.5000
0.3333 0.6667 0.0000
0.6667 0.3333 0.0000
0.7252 0.0000 0.5000
```

Calculated values
V: 21.23 A^3/atom
DOS(E_F): 0.45 states/eV/atom
Formation energy from raw total energies: -0.167 eV/atom
Calculated total energy: -4.4952 eV per atom
Magnetic moment: 0.0 μB/f.u.

---

Zr2Se | PBE | optimized geometry

Geometry as POSCAR:
```
Zr2Se
1.0
-2.0421 2.0421 14.7596
2.0421 -2.0421 14.7596
2.0421 2.0421 -14.7596
Zr Se
8 4
direct
0.0421 0.7921 0.2500
0.1245 0.3745 0.7500
0.2079 0.9579 0.2500
0.3745 0.1245 0.2500
0.6255 0.8755 0.7500
0.7921 0.0421 0.7500
0.8755 0.6255 0.2500
0.9579 0.2079 0.7500
0.3041 0.5541 0.7500
0.4459 0.6959 0.7500
0.5541 0.3041 0.2500
0.6959 0.4459 0.2500
```

Calculated values
V: 20.52 A^3/atom
DOS(E_F): 0.69 states/eV/atom
Formation energy from raw total energies: -0.569 eV/atom
Calculated total energy: -7.4297 eV per atom
Magnetic moment: 0.0 μB/f.u.

---

ZrSe | PBE | optimized geometry

Geometry as POSCAR:
```
ZrSe
1.0
11.2844 0.0000 0.0000
0.0000 11.2844 0.0000
0.0000 0.0000 3.7711
Zr Se
8 8
direct
0.0431 0.6287 0.0000
0.1699 0.2814 0.5000
0.2814 0.8301 0.5000
0.3713 0.0431 0.0000
0.6287 0.9569 0.0000
0.7186 0.1699 0.5000
0.8301 0.7186 0.5000
0.9569 0.3713 0.0000
0.0490 0.7939 0.5000
0.1950 0.4471 0.0000
0.2061 0.0490 0.5000
0.4471 0.8050 0.0000
0.5529 0.1950 0.0000
0.7939 0.9510 0.5000
0.8050 0.5529 0.0000
0.9510 0.2061 0.5000
```

Calculated values
V: 30.01 A^3/atom
DOS(E_F): 0.85 states/eV/atom
Formation energy from raw total energies: -0.840 eV/atom
Calculated total energy: -6.8562 eV per atom
Magnetic moment: 0.0 μB/f.u.

---

ZrSe | PBE | optimized geometry

Geometry as POSCAR:
```
ZrSe
1.0
3.5703 0.0000 0.0000
-1.7852 3.0920 0.0000
0.0000 0.0000 8.7411
Zr Se
2 2
direct
0.3333 0.6667 0.0000
0.6667 0.3333 0.5000
0.3333 0.6667 0.6975
0.6667 0.3333 0.1975
```

Calculated values
V: 24.12 A^3/atom
DOS(E_F): 0.35 states/eV/atom
Formation energy from raw total energies: -0.821 eV/atom
Calculated total energy: -6.8375 eV per atom
Magnetic moment: 0.0 μB/f.u.

---

Q: magnetic moment of number 4 (Zr2Se)?
A: 0.0 μB/f.u.

---

Q: Number 5 is which compound?
A: ZrSe

---

Repeat the fifth record exactly.
ZrSe | PBE | optimized geometry

Geometry as POSCAR:
```
ZrSe
1.0
11.2844 0.0000 0.0000
0.0000 11.2844 0.0000
0.0000 0.0000 3.7711
Zr Se
8 8
direct
0.0431 0.6287 0.0000
0.1699 0.2814 0.5000
0.2814 0.8301 0.5000
0.3713 0.0431 0.0000
0.6287 0.9569 0.0000
0.7186 0.1699 0.5000
0.8301 0.7186 0.5000
0.9569 0.3713 0.0000
0.0490 0.7939 0.5000
0.1950 0.4471 0.0000
0.2061 0.0490 0.5000
0.4471 0.8050 0.0000
0.5529 0.1950 0.0000
0.7939 0.9510 0.5000
0.8050 0.5529 0.0000
0.9510 0.2061 0.5000
```

Calculated values
V: 30.01 A^3/atom
DOS(E_F): 0.85 states/eV/atom
Formation energy from raw total energies: -0.840 eV/atom
Calculated total energy: -6.8562 eV per atom
Magnetic moment: 0.0 μB/f.u.